(1)
A plane-wave DFT calculation with meta-GGA SCAN was carried out for a PBEsol-optimized structure of AlZnIn2.

Summary:
Space-group type: Pmmm, No. 47
Energy of formation from the pure elements in eV/atom: 0.177

a b c (Å): 3.096 4.134 6.350
angles (deg): 90.00 90.00 90.00
Atoms (fractional coordinates):
1 Al 0.000 0.000 0.000
2 Zn 0.000 0.000 0.500
3 In 0.500 0.500 0.256
4 In 0.500 0.500 0.744

***

(2)
A plane-wave DFT calculation with meta-GGA SCAN was carried out for a PBEsol-optimized structure of SbTePt2.

Summary:
Space-group type: R3m, No. 160
Uncorrected formation energy in meV/atom: -443

a b c (Å): 6.884 6.884 6.884
angles (deg): 33.47 33.47 33.47
Atoms (fractional coordinates):
1 Sb 0.000 0.000 0.000
2 Te 0.200 0.200 0.200
3 Pt 0.469 0.469 0.469
4 Pt 0.729 0.729 0.729

***

(3)
A plane-wave DFT calculation with meta-GGA SCAN was carried out for a PBEsol-optimized structure of CoSbBr.

Summary:
Space-group type: F-43m, No. 216
Uncorrected formation energy in meV/atom: 512

a b c (Å): 4.397 4.397 4.397
angles (deg): 60.00 60.00 60.00
Atoms (fractional coordinates):
1 Co 0.000 0.000 0.000
2 Sb 0.250 0.250 0.250
3 Br 0.750 0.750 0.750

***

(4)
A plane-wave DFT calculation with meta-GGA SCAN was carried out for a PBEsol-optimized structure of Bi3PO7.

Summary:
Space-group type: C2/m, No. 12
Uncorrected formation energy in meV/atom: -1665

a b c (Å): 9.269 9.269 11.945
angles (deg): 103.05 103.05 92.84
Atoms (fractional coordinates):
1 Bi 0.167 0.831 0.689
2 Bi 0.168 0.473 0.106
3 Bi 0.169 0.480 0.771
4 Bi 0.169 0.833 0.311
5 Bi 0.176 0.824 0.000
6 Bi 0.187 0.514 0.447
7 Bi 0.473 0.168 0.106
8 Bi 0.480 0.169 0.771
9 Bi 0.486 0.813 0.553
10 Bi 0.514 0.187 0.447
11 Bi 0.520 0.831 0.229
12 Bi 0.527 0.832 0.894
13 Bi 0.813 0.486 0.553
14 Bi 0.824 0.176 0.000
15 Bi 0.831 0.167 0.689
16 Bi 0.831 0.520 0.229
17 Bi 0.832 0.527 0.894
18 Bi 0.833 0.169 0.311
19 P 0.166 0.166 0.252
20 P 0.171 0.171 0.871
21 P 0.485 0.485 0.678
22 P 0.515 0.515 0.322
23 P 0.829 0.829 0.129
24 P 0.834 0.834 0.748
25 O 0.016 0.209 0.890
26 O 0.048 0.241 0.176
27 O 0.081 0.580 0.619
28 O 0.083 0.584 0.277
29 O 0.091 0.091 0.331
30 O 0.097 0.565 0.945
31 O 0.172 0.172 0.741
32 O 0.209 0.016 0.890
33 O 0.229 0.771 0.500
34 O 0.241 0.048 0.176
35 O 0.276 0.721 0.163
36 O 0.279 0.724 0.837
37 O 0.289 0.289 0.333
38 O 0.291 0.291 0.961
39 O 0.358 0.358 0.657
40 O 0.396 0.590 0.381
41 O 0.410 0.604 0.619
42 O 0.416 0.917 0.723
43 O 0.420 0.919 0.381
44 O 0.435 0.903 0.055
45 O 0.448 0.448 0.189
46 O 0.552 0.552 0.811
47 O 0.565 0.097 0.945
48 O 0.580 0.081 0.619
49 O 0.584 0.083 0.277
50 O 0.590 0.396 0.381
51 O 0.604 0.410 0.619
52 O 0.642 0.642 0.343
53 O 0.709 0.709 0.039
54 O 0.711 0.711 0.667
55 O 0.721 0.276 0.163
56 O 0.724 0.279 0.837
57 O 0.759 0.952 0.824
58 O 0.771 0.229 0.500
59 O 0.791 0.984 0.110
60 O 0.828 0.828 0.259
61 O 0.903 0.435 0.055
62 O 0.909 0.909 0.669
63 O 0.917 0.416 0.723
64 O 0.919 0.420 0.381
65 O 0.952 0.759 0.824
66 O 0.984 0.791 0.110

***

Quick rundown of density, same order as above: 6579; 12022; 7196; 7920 kg/m³